1.
# Ca2YP3Pt12, optimized geometry, DFT PBE
# DFT formation energy ... -7.5 eV per formula unit
# M_tot ... 0.000 μB per formula unit
# DFT total energy ... -5.93 eV/atom
data_Ca2YP3Pt12
_cell_length_a 8.3566
_cell_length_b 8.3566
_cell_length_c 17.5429
_cell_angle_alpha 90.00
_cell_angle_beta 90.00
_cell_angle_gamma 120.00
_symmetry_space_group_name_H-M 'R -3 m'
_symmetry_Int_Tables_number 166
_symmetry_space_group_name_Hall '-R 3 2"'
loop_
_atom_site_label
_atom_site_type_symbol
_atom_site_fract_x
_atom_site_fract_y
_atom_site_fract_z
Ca1 Ca 0.0000 0.0000 0.0947
Y1 Y 0.0000 0.0000 0.5000
P1 P 0.0000 0.5000 0.0000
Pt1 Pt 0.0294 0.5147 0.8698
Pt2 Pt 0.0406 0.5203 0.3596

2.
# Ca3ZnP2Pt9, optimized geometry, DFT PBE
# DFT formation energy ... -10.3 eV per formula unit
# M_tot ... 0.000 μB per formula unit
# DFT total energy ... -5.52 eV/atom
data_Ca3ZnP2Pt9
_cell_length_a 5.7272
_cell_length_b 5.7272
_cell_length_c 10.4018
_cell_angle_alpha 90.00
_cell_angle_beta 90.00
_cell_angle_gamma 120.00
_symmetry_space_group_name_H-M 'P -3 m 1'
_symmetry_Int_Tables_number 164
_symmetry_space_group_name_Hall '-P 3 2"'
loop_
_atom_site_label
_atom_site_type_symbol
_atom_site_fract_x
_atom_site_fract_y
_atom_site_fract_z
Ca1 Ca 0.0000 0.0000 0.0000
Ca2 Ca 0.3333 0.6667 0.5856
Zn1 Zn 0.0000 0.0000 0.5000
P1 P 0.3333 0.6667 0.1606
Pt1 Pt 0.0000 0.5000 0.0000
Pt2 Pt 0.1587 0.3173 0.3038

3.
# Ca2ZnP3Pt4, optimized geometry, DFT PBE
# DFT formation energy ... -8.1 eV per formula unit
# M_tot ... 0.000 μB per formula unit
# DFT total energy ... -5.38 eV/atom
data_Ca2ZnP3Pt4
_cell_length_a 4.2543
_cell_length_b 4.2543
_cell_length_c 9.8062
_cell_angle_alpha 90.00
_cell_angle_beta 90.00
_cell_angle_gamma 90.00
_symmetry_space_group_name_H-M 'P -4 m 2'
_symmetry_Int_Tables_number 115
_symmetry_space_group_name_Hall 'P -4 -2'
loop_
_atom_site_label
_atom_site_type_symbol
_atom_site_fract_x
_atom_site_fract_y
_atom_site_fract_z
Ca1 Ca 0.0000 0.5000 0.2503
Zn1 Zn 0.0000 0.0000 0.5000
P1 P 0.0000 0.5000 0.8711
P2 P 0.5000 0.5000 0.5000
Pt1 Pt 0.0000 0.0000 0.0000
Pt2 Pt 0.0000 0.5000 0.6338
Pt3 Pt 0.5000 0.5000 0.0000

4.
# Ca2ZnP3Pt12, optimized geometry, DFT PBE
# DFT formation energy ... -7.0 eV per formula unit
# M_tot ... 0.000 μB per formula unit
# DFT total energy ... -5.61 eV/atom
data_Ca2ZnP3Pt12
_cell_length_a 8.2513
_cell_length_b 8.2513
_cell_length_c 17.6913
_cell_angle_alpha 90.00
_cell_angle_beta 90.00
_cell_angle_gamma 120.00
_symmetry_space_group_name_H-M 'R -3 m'
_symmetry_Int_Tables_number 166
_symmetry_space_group_name_Hall '-R 3 2"'
loop_
_atom_site_label
_atom_site_type_symbol
_atom_site_fract_x
_atom_site_fract_y
_atom_site_fract_z
Ca1 Ca 0.0000 0.0000 0.1080
Zn1 Zn 0.0000 0.0000 0.5000
P1 P 0.0000 0.5000 0.0000
Pt1 Pt 0.0013 0.5006 0.1272
Pt2 Pt 0.0372 0.5186 0.3621

5.
# Ca2ZnPPt6, optimized geometry, DFT PBE
# DFT formation energy ... -7.2 eV per formula unit
# M_tot ... 0.000 μB per formula unit
# DFT total energy ... -5.41 eV/atom
data_Ca2ZnPPt6
_cell_length_a 9.7847
_cell_length_b 5.6240
_cell_length_c 7.8809
_cell_angle_alpha 90.00
_cell_angle_beta 114.60
_cell_angle_gamma 90.00
_symmetry_space_group_name_H-M 'C 1 2/m 1'
_symmetry_Int_Tables_number 12
_symmetry_space_group_name_Hall '-C 2y'
loop_
_atom_site_label
_atom_site_type_symbol
_atom_site_fract_x
_atom_site_fract_y
_atom_site_fract_z
Ca1 Ca 0.2055 0.0000 0.1144
Zn1 Zn 0.0000 0.5000 0.0000
P1 P 0.0000 0.0000 0.5000
Pt1 Pt 0.0175 0.2606 0.2873
Pt2 Pt 0.2446 0.0000 0.7135

6.
# Ca2PuP3, optimized geometry, DFT PBE
# DFT formation energy ... -6.2 eV per formula unit
# Polymorph energy (0 for the lowest one) ... 0.00 eV/f.u.
# M_tot ... 3.042 μB per formula unit
# DFT total energy ... -6.79 eV/atom
data_Ca2PuP3
_cell_length_a 7.0619
_cell_length_b 12.2267
_cell_length_c 7.0175
_cell_angle_alpha 90.00
_cell_angle_beta 109.62
_cell_angle_gamma 90.00
_symmetry_space_group_name_H-M 'C 1 2/m 1'
_symmetry_Int_Tables_number 12
_symmetry_space_group_name_Hall '-C 2y'
loop_
_atom_site_label
_atom_site_type_symbol
_atom_site_fract_x
_atom_site_fract_y
_atom_site_fract_z
Ca1 Ca 0.0000 0.0000 0.0000
Ca2 Ca 0.0000 0.1618 0.5000
Ca3 Ca 0.0000 0.5000 0.5000
Pu1 Pu 0.0000 0.3329 0.0000
P1 P 0.2236 0.5000 0.2279
P2 P 0.2476 0.3232 0.7736

7.
# CaPuP, optimized geometry, DFT PBE
# DFT formation energy ... -1.7 eV per formula unit
# M_tot ... 6.411 μB per formula unit
# DFT total energy ... -7.83 eV/atom
data_CaPuP
_cell_length_a 6.7908
_cell_length_b 6.7908
_cell_length_c 6.7908
_cell_angle_alpha 90.00
_cell_angle_beta 90.00
_cell_angle_gamma 90.00
_symmetry_space_group_name_H-M 'F -4 3 m'
_symmetry_Int_Tables_number 216
_symmetry_space_group_name_Hall 'F -4 2 3'
loop_
_atom_site_label
_atom_site_type_symbol
_atom_site_fract_x
_atom_site_fract_y
_atom_site_fract_z
Ca1 Ca 0.0000 0.0000 0.0000
Pu1 Pu 0.0000 0.0000 0.5000
P1 P 0.2500 0.2500 0.7500

8.
# CaPuP, optimized geometry, DFT PBE
# DFT formation energy ... -1.8 eV per formula unit
# M_tot ... 5.908 μB per formula unit
# DFT total energy ... -7.84 eV/atom
data_CaPuP
_cell_length_a 3.9396
_cell_length_b 3.9396
_cell_length_c 6.7981
_cell_angle_alpha 90.00
_cell_angle_beta 90.00
_cell_angle_gamma 120.00
_symmetry_space_group_name_H-M 'P 3 m 1'
_symmetry_Int_Tables_number 156
_symmetry_space_group_name_Hall 'P 3 -2"'
loop_
_atom_site_label
_atom_site_type_symbol
_atom_site_fract_x
_atom_site_fract_y
_atom_site_fract_z
Ca1 Ca 0.0000 0.0000 0.0000
Pu1 Pu 0.6667 0.3333 0.4815
P1 P 0.3333 0.6667 0.2540

9.
# CaPu2P3, optimized geometry, DFT PBE
# DFT formation energy ... -5.1 eV per formula unit
# M_tot ... 8.997 μB per formula unit
# DFT total energy ... -8.67 eV/atom
data_CaPu2P3
_cell_length_a 12.1357
_cell_length_b 6.9165
_cell_length_c 7.2725
_cell_angle_alpha 90.00
_cell_angle_beta 90.00
_cell_angle_gamma 90.00
_symmetry_space_group_name_H-M 'C m c m'
_symmetry_Int_Tables_number 63
_symmetry_space_group_name_Hall '-C 2c 2'
loop_
_atom_site_label
_atom_site_type_symbol
_atom_site_fract_x
_atom_site_fract_y
_atom_site_fract_z
Ca1 Ca 0.0000 0.0089 0.2500
Pu1 Pu 0.1658 0.5000 0.0000
P1 P 0.0000 0.4062 0.7500
P2 P 0.2064 0.2055 0.2500

10.
# Ca2PuP, optimized geometry, DFT PBE
# DFT formation energy ... -0.8 eV per formula unit
# M_tot ... 7.318 μB per formula unit
# DFT total energy ... -6.15 eV/atom
data_Ca2PuP
_cell_length_a 3.9854
_cell_length_b 3.9854
_cell_length_c 31.9850
_cell_angle_alpha 90.00
_cell_angle_beta 90.00
_cell_angle_gamma 120.00
_symmetry_space_group_name_H-M 'R -3 m'
_symmetry_Int_Tables_number 166
_symmetry_space_group_name_Hall '-R 3 2"'
loop_
_atom_site_label
_atom_site_type_symbol
_atom_site_fract_x
_atom_site_fract_y
_atom_site_fract_z
Ca1 Ca 0.0000 0.0000 0.1190
Pu1 Pu 0.0000 0.0000 0.0000
P1 P 0.0000 0.0000 0.5000

11.
# CaPu3P4, optimized geometry, DFT PBE
# DFT formation energy ... -8.6 eV per formula unit
# M_tot ... 4.547 μB per formula unit
# DFT total energy ... -9.41 eV/atom
data_CaPu3P4
_cell_length_a 6.9378
_cell_length_b 4.0390
_cell_length_c 6.9721
_cell_angle_alpha 90.00
_cell_angle_beta 109.53
_cell_angle_gamma 90.00
_symmetry_space_group_name_H-M 'P 1 2/m 1'
_symmetry_Int_Tables_number 10
_symmetry_space_group_name_Hall '-P 2y'
loop_
_atom_site_label
_atom_site_type_symbol
_atom_site_fract_x
_atom_site_fract_y
_atom_site_fract_z
Ca1 Ca 0.0000 0.0000 0.0000
Pu1 Pu 0.0000 0.5000 0.5000
Pu2 Pu 0.5000 0.0000 0.5000
Pu3 Pu 0.5000 0.5000 0.0000
P1 P 0.2563 0.0000 0.7450
P2 P 0.2652 0.5000 0.2622

12.
# CaPuP, optimized geometry, DFT PBE
# DFT formation energy ... -1.7 eV per formula unit
# M_tot ... 5.731 μB per formula unit
# DFT total energy ... -7.81 eV/atom
data_CaPuP
_cell_length_a 3.5143
_cell_length_b 3.5143
_cell_length_c 12.8577
_cell_angle_alpha 90.00
_cell_angle_beta 90.00
_cell_angle_gamma 90.00
_symmetry_space_group_name_H-M 'I 4 m m'
_symmetry_Int_Tables_number 107
_symmetry_space_group_name_Hall 'I 4 -2'
loop_
_atom_site_label
_atom_site_type_symbol
_atom_site_fract_x
_atom_site_fract_y
_atom_site_fract_z
Ca1 Ca 0.0000 0.0000 0.0000
Pu1 Pu 0.0000 0.0000 0.2483
P1 P 0.0000 0.0000 0.6378